VASP calculation (GGA-PBE) on YTi2I after structural relaxation.

The energy relative to the lowest polymorph listed for this composition is 0.0 meV/atom. The uncorrected formation energy comes out at 0.44 eV/atom. The raw total energy is -88.25 eV for the cell shown. The density of states at the Fermi level comes out at 25.5 states/eV per cell.

The space group is I-42d (No. 122) and the conventional cell measures 8.237, 8.237 and 5.841 Å, with angles of 90.00, 90.00 and 90.00 degrees. The asymmetric unit holds Y at (0.000, 0.000, 0.000), Ti at (0.197, 0.750, 0.625) and I at (0.000, 0.000, 0.500).